[1]
First-principles (PBE-GGA) data for a geometry-optimized Ba5TiN4Cl2 structure, as listed in Alexandria via LeMat-Bulk.

formation energy (no corrections) = -1.16 eV per atom
size of the total moment = 0.000 μB per cell
electronic total energy = -5.699 eV/atom

Cell: 8.8576 6.0656 6.0656 Å, 114.45 90.00 90.00°
Positions (direct):
Ba1 0.0000 0.0000 0.0000
Ba2 0.3088 0.2130 0.5800
Ba3 0.3088 0.5800 0.2130
Ba4 0.6912 0.2130 0.5800
Ba5 0.6912 0.5800 0.2130
Ti1 0.5000 0.9124 0.9124
N1 0.3111 0.0853 0.0853
N2 0.5000 0.5769 0.8856
N3 0.5000 0.8856 0.5769
N4 0.6889 0.0853 0.0853
Cl1 0.0000 0.4490 0.8482
Cl2 0.0000 0.8482 0.4490


[2]
First-principles (PBE-GGA) data for a geometry-optimized Na2SiPPt6 structure, as listed in Alexandria via LeMat-Bulk.

formation energy (no corrections) = -0.43 eV per atom
size of the total moment = 0.000 μB per cell
electronic total energy = -5.403 eV/atom

Cell: 6.4286 6.4333 6.4453 Å, 61.56 61.45 61.42°
Positions (direct):
Na1 0.2067 0.2049 0.2056
Na2 0.7933 0.7951 0.7944
Si1 0.5000 0.5000 0.5000
P1 0.0000 0.0000 0.0000
Pt1 0.2393 0.6560 0.2523
Pt2 0.2517 0.2393 0.6565
Pt3 0.3443 0.7480 0.7602
Pt4 0.6557 0.2520 0.2398
Pt5 0.7483 0.7607 0.3435
Pt6 0.7607 0.3440 0.7477


[3]
First-principles (PBE-GGA) data for a geometry-optimized LiHo2ScSe5 structure, as listed in Alexandria via LeMat-Bulk.

formation energy (no corrections) = -1.64 eV per atom
size of the total moment = 0.000 μB per cell
electronic total energy = -5.510 eV/atom

Cell: 8.5973 8.5973 12.0733 Å, 90.00 90.00 153.19°
Positions (direct):
Li1 0.0503 0.9497 0.5000
Li2 0.9497 0.0503 0.0000
Ho1 0.3708 0.6292 0.3356
Ho2 0.3964 0.6036 0.7191
Ho3 0.6036 0.3964 0.2191
Ho4 0.6292 0.3708 0.8356
Sc1 0.3005 0.6995 0.0476
Sc2 0.6995 0.3005 0.5476
Se1 0.0032 0.9968 0.8166
Se2 0.1378 0.8622 0.0363
Se3 0.1912 0.8088 0.3908
Se4 0.2204 0.7796 0.7023
Se5 0.4474 0.5526 0.1083
Se6 0.5526 0.4474 0.6083
Se7 0.7796 0.2204 0.2023
Se8 0.8088 0.1912 0.8908
Se9 0.8622 0.1378 0.5363
Se10 0.9968 0.0032 0.3166


[4]
First-principles (PBE-GGA) data for a geometry-optimized Pu3Bi2 structure, as listed in Alexandria via LeMat-Bulk.

energy of formation = -228 meV/atom
size of the total moment = 35.953 μB per cell
energy relative to the lowest polymorph listed for this composition = 0 meV/atom
electronic total energy = -10.380 eV/atom

Cell: 5.3350 5.3350 12.6333 Å, 90.00 90.00 120.00°
Positions (direct):
Pu1 0.0000 0.0000 0.2500
Pu2 0.0000 0.0000 0.7500
Pu3 0.3333 0.6667 0.1050
Pu4 0.3333 0.6667 0.3950
Pu5 0.6667 0.3333 0.6050
Pu6 0.6667 0.3333 0.8950
Bi1 0.0000 0.0000 0.0000
Bi2 0.0000 0.0000 0.5000
Bi3 0.3333 0.6667 0.7500
Bi4 0.6667 0.3333 0.2500


[5]
First-principles (PBE-GGA) data for a geometry-optimized Zr2GeHPd structure, as listed in Alexandria via LeMat-Bulk.

size of the total moment = 0.000 μB per cell
electronic total energy = -6.619 eV/atom

Cell: 4.3881 4.3881 3.9921 Å, 90.00 90.00 90.00°
Positions (direct):
Zr1 0.0000 0.5000 0.0000
Zr2 0.5000 0.0000 0.0000
Ge1 0.0000 0.0000 0.5000
H1 0.5000 0.5000 0.0000
Pd1 0.5000 0.5000 0.5000


[6]
First-principles (PBE-GGA) data for a geometry-optimized Nb2AlF structure, as listed in Alexandria via LeMat-Bulk.

formation energy (no corrections) = -0.13 eV per atom
size of the total moment = 0.000 μB per cell
energy relative to the lowest polymorph listed for this composition = 0 meV/atom
electronic total energy = -6.566 eV/atom

Cell: 4.4786 4.4786 4.4786 Å, 60.00 60.00 60.00°
Positions (direct):
Nb1 0.2500 0.2500 0.2500
Nb2 0.7500 0.7500 0.7500
Al1 0.0000 0.0000 0.0000
F1 0.5000 0.5000 0.5000